No. 1
First-principles (PBE) data for crystalline Zr4CdSN2 at its relaxed geometry, as listed in OQMD via LeMat-Bulk.

Output
**Symmetry**: P-6m2 (187)
**Electronic total energy**: -8.274 eV per atom

a b c (Å): 3.3477 3.3477 13.4370
angles (deg): 90.00 90.00 120.00
Atoms (fractional coordinates):
N1 0.3333 0.6667 0.2697
N2 0.3333 0.6667 0.7303
S1 0.6667 0.3333 0.5000
Zr1 0.6667 0.3333 0.8164
Zr2 0.6667 0.3333 0.1836
Zr3 0.0000 0.0000 0.6347
Zr4 0.0000 0.0000 0.3653
Cd1 0.0000 0.0000 0.0000


No. 2
First-principles (PBE) data for crystalline Ta4CdSbN2 at its relaxed geometry, as listed in OQMD via LeMat-Bulk.

Output
**Symmetry**: P-6m2 (187)
**Electronic total energy**: -8.974 eV per atom

a b c (Å): 3.2175 3.2175 13.8320
angles (deg): 90.00 90.00 120.00
Atoms (fractional coordinates):
N1 0.3333 0.6667 0.2544
N2 0.3333 0.6667 0.7456
Ta1 0.0000 0.0000 0.8272
Ta2 0.6667 0.3333 0.3369
Ta3 0.6667 0.3333 0.6631
Ta4 0.0000 0.0000 0.1728
Cd1 0.6667 0.3333 0.0000
Sb1 0.0000 0.0000 0.5000


No. 3
First-principles (PBE) data for crystalline Sc3CdN2 at its relaxed geometry, as listed in OQMD via LeMat-Bulk.

Output
**Symmetry**: P6_3/mmc (194)
**Electronic total energy**: -7.455 eV per atom

a b c (Å): 3.2128 3.2128 20.2689
angles (deg): 90.00 90.00 120.00
Last column: magnetic moment on the atom in μB.
Atoms (fractional coordinates):
Sc1 0.3333 0.6667 0.6231  0.06
Sc2 0.3333 0.6667 0.8769  0.06
Sc3 0.0000 0.0000 0.5000  0.00
Sc4 0.6667 0.3333 0.3769  0.06
Sc5 0.0000 0.0000 0.0000  0.00
Sc6 0.6667 0.3333 0.1231  0.06
N1 0.3333 0.6667 0.4339  0.00
N2 0.6667 0.3333 0.9339  0.00
N3 0.6667 0.3333 0.5661  0.00
N4 0.3333 0.6667 0.0661  0.00
Cd1 0.0000 0.0000 0.7500  0.02
Cd2 0.0000 0.0000 0.2500  0.02


No. 4
First-principles (PBE) data for crystalline ScCd2N at its relaxed geometry, as listed in OQMD via LeMat-Bulk.

Output
**Symmetry**: P6_3/mmc (194)
**Electronic total energy**: -3.707 eV per atom

a b c (Å): 3.4333 3.4333 14.6089
angles (deg): 90.00 90.00 120.00
Last column: magnetic moment on the atom in μB.
Atoms (fractional coordinates):
Cd1 0.3333 0.6667 0.4122  0.01
Cd2 0.6667 0.3333 0.5878  0.01
Cd3 0.3333 0.6667 0.0878  0.00
Cd4 0.6667 0.3333 0.9122  0.00
Sc1 0.3333 0.6667 0.7500  0.14
Sc2 0.6667 0.3333 0.2500  0.14
N1 0.0000 0.0000 0.5000  0.08
N2 0.0000 0.0000 0.0000  0.08


No. 5
First-principles (PBE) data for crystalline Sc4CdSiN2 at its relaxed geometry, as listed in OQMD via LeMat-Bulk.

Output
**Symmetry**: P-6m2 (187)
**Electronic total energy**: -7.183 eV per atom

a b c (Å): 3.2188 3.2188 14.2418
angles (deg): 90.00 90.00 120.00
Last column: magnetic moment on the atom in μB.
Atoms (fractional coordinates):
Sc1 0.3333 0.6667 0.8222  0.06
Sc2 0.3333 0.6667 0.1778  0.06
Sc3 0.0000 0.0000 0.6496  0.00
Sc4 0.0000 0.0000 0.3504  0.00
Si1 0.3333 0.6667 0.5000  0.00
N1 0.6667 0.3333 0.2628  0.00
N2 0.6667 0.3333 0.7372  0.00
Cd1 0.0000 0.0000 0.0000  0.01


No. 6
First-principles (PBE) data for crystalline Sc2Ta4Cd3N3 at its relaxed geometry, as listed in OQMD via LeMat-Bulk.

Output
**Symmetry**: C2/c (15)
**Electronic total energy**: -8.010 eV per atom

a b c (Å): 5.5549 5.5549 14.5385
angles (deg): 100.92 100.92 60.24
Atoms (fractional coordinates):
Cd1 0.0275 0.9725 0.7500
Cd2 0.5823 0.8095 0.2505
Cd3 0.8095 0.5823 0.7505
Cd4 0.9725 0.0275 0.2500
Cd5 0.4177 0.1905 0.7495
Cd6 0.1905 0.4177 0.2495
Ta1 0.3084 0.1442 0.4250
Ta2 0.9775 0.8065 0.4250
Ta3 0.8065 0.9775 0.9250
Ta4 0.1935 0.0225 0.0750
Ta5 0.1442 0.3084 0.9250
Ta6 0.6916 0.8558 0.5750
Ta7 0.0225 0.1935 0.5750
Ta8 0.8558 0.6916 0.0750
Sc1 0.6287 0.4684 0.4063
Sc2 0.5316 0.3713 0.0937
Sc3 0.3713 0.5316 0.5937
Sc4 0.4684 0.6287 0.9063
N1 0.8210 0.3398 0.0000
N2 0.0000 0.5000 0.5000
N3 0.6602 0.1790 0.5000
N4 0.3398 0.8210 0.5000
N5 0.1790 0.6602 0.0000
N6 0.5000 0.0000 0.0000


No. 7
First-principles (PBE) data for crystalline Sc4TlCdN2 at its relaxed geometry, as listed in OQMD via LeMat-Bulk.

Output
**Symmetry**: P-6m2 (187)
**Electronic total energy**: -6.740 eV per atom

a b c (Å): 3.2609 3.2609 14.9211
angles (deg): 90.00 90.00 120.00
Atoms (fractional coordinates):
Sc1 0.0000 0.0000 0.3301
Sc2 0.6667 0.3333 0.8317
Sc3 0.0000 0.0000 0.6699
Sc4 0.6667 0.3333 0.1683
Cd1 0.0000 0.0000 0.0000
N1 0.3333 0.6667 0.2509
N2 0.3333 0.6667 0.7491
Tl1 0.6667 0.3333 0.5000


No. 8
First-principles (PBE) data for crystalline Sc2Cd3W4N3 at its relaxed geometry, as listed in OQMD via LeMat-Bulk.

Output
**Symmetry**: C2/c (15)
**Electronic total energy**: -7.964 eV per atom

a b c (Å): 5.5710 5.5710 13.9530
angles (deg): 100.93 100.93 60.49
Atoms (fractional coordinates):
N1 0.0000 0.5000 0.0000
N2 0.5000 0.0000 0.5000
N3 0.3486 0.8017 0.9998
N4 0.6514 0.1983 0.0002
N5 0.1983 0.6514 0.5002
N6 0.8017 0.3486 0.4998
W1 0.8223 0.9618 0.4305
W2 0.1777 0.0382 0.5695
W3 0.1351 0.3060 0.4308
W4 0.9618 0.8223 0.9305
W5 0.3060 0.1351 0.9308
W6 0.0382 0.1777 0.0695
W7 0.6940 0.8649 0.0692
W8 0.8649 0.6940 0.5692
Cd1 0.4214 0.1655 0.2515
Cd2 0.0062 0.9938 0.2500
Cd3 0.1655 0.4214 0.7515
Cd4 0.9938 0.0062 0.7500
Cd5 0.5786 0.8345 0.7485
Cd6 0.8345 0.5786 0.2485
Sc1 0.5310 0.3681 0.5985
Sc2 0.4690 0.6319 0.4015
Sc3 0.3681 0.5310 0.0985
Sc4 0.6319 0.4690 0.9015